Entry 1:
A relaxed K2LiPCl6 crystal, computed with PBE.

ρ (g/cm3): 2.2
Formation energy (no corrections) (eV per atom): -1.32
Magnetization (μB per atom): 0.00
E_tot (eV/atom): -3.379

abc: 9.995 9.995 9.995
angles: 90.00 90.00 90.00
Space group Fm-3m (No. 225)
Unique sites:
1 K 0.250 0.250 0.250 [8 per cell]
2 Li 0.000 0.000 0.000 [4 per cell]
3 P 0.000 0.000 0.500 [4 per cell]
4 Cl 0.000 0.000 0.258 [24 per cell]

***

Entry 2:
A relaxed ScRuBr2 crystal, computed with PBE.

ρ (g/cm3): 5.5
Formation energy (no corrections) (eV per atom): -0.35
Magnetization (μB per atom): 0.34
E_tot (eV/atom): -5.091

abc: 3.261 3.261 8.758
angles: 90.00 90.00 90.00
Space group P4mm (No. 99)
Unique sites:
1 Sc 0.000 0.000 0.000 [1 per cell]
2 Ru 0.500 0.500 0.800 [1 per cell]
3 Br 0.000 0.000 0.625 [1 per cell]
4 Br 0.500 0.500 0.204 [1 per cell]